The following is a PBE calculation of an optimized crystal structure of Ho3Ge6Pd20, from Alexandria via LeMat-Bulk. Values from VASP.

space-group type: Fm-3m
total DFT energy (no corrections): -164.79 eV for the cell shown

Geometry as Quantum ESPRESSO input:
```
&SYSTEM
  ibrav = 0, nat = 29, ntyp = 3
/
ATOMIC_SPECIES
Pd 106.42 Pd.upf
Ge 72.64 Ge.upf
Ho 164.93 Ho.upf
CELL_PARAMETERS angstrom
0.676 8.780 0.668
-1.362 3.954 7.778
6.779 3.586 4.377
ATOMIC_POSITIONS crystal
Pd 0.000 0.653 0.000
Pd 0.347 0.000 0.000
Pd 0.347 0.000 0.653
Pd 0.653 0.347 0.000
Pd 0.619 0.619 0.619
Pd 0.000 0.653 0.347
Pd 0.619 0.619 0.142
Pd 0.653 0.000 0.347
Pd 0.000 0.000 0.347
Pd 0.381 0.858 0.381
Pd 0.619 0.142 0.619
Pd 0.381 0.381 0.858
Pd 0.142 0.619 0.619
Pd 0.347 0.653 0.000
Pd 0.653 0.000 0.000
Pd 0.381 0.381 0.381
Pd 0.000 0.347 0.000
Pd 0.000 0.347 0.653
Pd 0.000 0.000 0.653
Pd 0.858 0.381 0.381
Ge 0.269 0.731 0.269
Ge 0.269 0.731 0.731
Ge 0.269 0.269 0.731
Ge 0.731 0.731 0.269
Ge 0.731 0.269 0.269
Ge 0.731 0.269 0.731
Ho 0.250 0.250 0.250
Ho 0.000 0.000 0.000
Ho 0.750 0.750 0.750
```

The following is a PBE calculation of an optimized crystal structure of HoGe4Pd4, from Alexandria via LeMat-Bulk. Values from VASP.

space-group type: P4_2/nmc
total DFT energy (no corrections): -96.43 eV for the cell shown

Geometry as Quantum ESPRESSO input:
```
&SYSTEM
  ibrav = 0, nat = 18, ntyp = 3
/
ATOMIC_SPECIES
Pd 106.42 Pd.upf
Ge 72.64 Ge.upf
Ho 164.93 Ho.upf
CELL_PARAMETERS angstrom
-3.921 0.309 4.840
2.279 -5.376 2.190
5.732 4.212 4.374
ATOMIC_POSITIONS crystal
Pd 0.778 0.500 0.902
Pd 0.278 0.000 0.598
Pd 0.500 0.778 0.098
Pd 0.500 0.222 0.098
Pd 0.000 0.722 0.402
Pd 0.000 0.278 0.402
Pd 0.222 0.500 0.902
Pd 0.722 0.000 0.598
Ge 0.776 0.500 0.199
Ge 0.000 0.276 0.699
Ge 0.224 0.500 0.199
Ge 0.500 0.776 0.801
Ge 0.724 0.000 0.301
Ge 0.500 0.224 0.801
Ge 0.000 0.724 0.699
Ge 0.276 0.000 0.301
Ho 0.500 0.500 0.500
Ho 0.000 0.000 0.000
```

The following is a PBE calculation of an optimized crystal structure of HoGePd3, from Alexandria via LeMat-Bulk. Values from VASP.

excess energy over the best structure of this formula in the dataset: 0 meV/atom
space-group type: Pnma
total DFT energy (no corrections): -113.41 eV for the cell shown

Geometry as Quantum ESPRESSO input:
```
&SYSTEM
  ibrav = 0, nat = 20, ntyp = 3
/
ATOMIC_SPECIES
Pd 106.42 Pd.upf
Ge 72.64 Ge.upf
Ho 164.93 Ho.upf
CELL_PARAMETERS angstrom
-0.266 1.285 -3.871
-6.639 -5.869 -1.493
-6.591 6.768 2.700
ATOMIC_POSITIONS crystal
Pd 0.250 0.366 0.790
Pd 0.250 0.748 0.045
Pd 0.750 0.634 0.210
Pd 0.250 0.866 0.710
Pd 0.250 0.248 0.455
Pd 0.750 0.134 0.290
Pd 0.750 0.752 0.545
Pd 0.750 0.252 0.955
Pd 0.250 0.568 0.401
Pd 0.750 0.932 0.901
Pd 0.250 0.068 0.099
Pd 0.750 0.432 0.599
Ge 0.750 0.902 0.149
Ge 0.250 0.598 0.649
Ge 0.250 0.098 0.851
Ge 0.750 0.402 0.351
Ho 0.750 0.607 0.879
Ho 0.250 0.893 0.379
Ho 0.750 0.107 0.621
Ho 0.250 0.393 0.121
```